Compound: CaCo2Ag2
Source: the Alexandria database
Functional: PBE
Structure: optimized geometry

Structure (POSCAR):
```
CaCo2Ag2
1.0
4.155 0.000 0.000
0.000 4.155 0.000
0.000 0.000 10.791
Ca Co Ag
2 4 4
Cartesian
0.000 0.000 0.000 Ca
2.078 2.078 5.395 Ca
0.000 0.000 4.338 Co
0.000 0.000 6.452 Co
2.078 2.078 1.057 Co
2.078 2.078 9.734 Co
0.000 2.078 2.698 Ag
0.000 2.078 8.093 Ag
2.078 0.000 2.698 Ag
2.078 0.000 8.093 Ag
```

Properties
ΔE_f = 0.254 eV per atom
SG = I4/mmm, No. 139
calculated total energy = -4.130 eV per atom
volume = 93.15 Å³/f.u.